Entry from Alexandria: an optimized crystal structure of KRb2Tl (GGA-PBE).

Cell and atoms, written as POSCAR:
```
KRb2Tl
1.0
4.858 0.000 1.360
1.893 7.340 2.593
-1.362 -0.091 14.220
Rb K Tl
4 2 2
direct
0.140 0.377 0.342 Rb
0.818 0.340 0.025 Rb
0.818 0.840 0.525 Rb
0.495 0.302 0.707 Rb
0.190 0.807 0.813 K
0.445 0.872 0.237 K
0.090 0.740 0.081 Tl
0.546 0.939 0.969 Tl
```

Output
- polymorph energy (0 for the lowest one) (eV per atom) = 0.0159
- SG = C2/m (12)
- formation energy from the elements (eV/atom) = -0.02

---

Entry from Alexandria: an optimized crystal structure of K6Rb23Tl (GGA-PBE).

Cell and atoms, written as POSCAR:
```
K6Rb23Tl
1.0
13.440 0.000 7.760
4.480 12.671 7.760
0.000 0.000 15.519
Rb K Tl
23 6 1
direct
0.342 0.342 0.342 Rb
0.881 0.881 0.358 Rb
0.658 0.658 0.658 Rb
0.342 0.342 0.974 Rb
0.881 0.881 0.881 Rb
0.974 0.342 0.342 Rb
0.000 0.000 0.500 Rb
0.658 0.026 0.658 Rb
0.658 0.658 0.026 Rb
0.500 0.000 0.500 Rb
0.358 0.881 0.881 Rb
0.500 0.000 0.000 Rb
0.026 0.658 0.658 Rb
0.000 0.500 0.500 Rb
0.500 0.500 0.000 Rb
0.342 0.974 0.342 Rb
0.000 0.000 0.000 Rb
0.642 0.119 0.119 Rb
0.119 0.119 0.642 Rb
0.119 0.119 0.119 Rb
0.000 0.500 0.000 Rb
0.119 0.642 0.119 Rb
0.881 0.358 0.881 Rb
0.671 0.329 0.329 K
0.329 0.671 0.671 K
0.671 0.329 0.671 K
0.671 0.671 0.329 K
0.329 0.671 0.329 K
0.329 0.329 0.671 K
0.500 0.500 0.500 Tl
```

Output
- SG = Fm-3m (225)
- formation energy from the elements (eV/atom) = 0.05

---

Entry from Alexandria: an optimized crystal structure of KRbTl10 (GGA-PBE).

Cell and atoms, written as POSCAR:
```
KRbTl10
1.0
5.547 0.000 0.000
0.000 6.688 0.000
0.000 0.000 11.623
Tl K Rb
10 1 1
direct
0.500 0.500 0.000 Tl
0.500 0.249 0.249 Tl
0.000 0.500 0.837 Tl
0.500 0.249 0.751 Tl
0.500 0.751 0.249 Tl
0.000 0.000 0.329 Tl
0.000 0.500 0.163 Tl
0.500 0.751 0.751 Tl
0.500 0.000 0.500 Tl
0.000 0.000 0.671 Tl
0.000 0.000 0.000 K
0.000 0.500 0.500 Rb
```

Output
- SG = Pmmm (47)
- formation energy from the elements (eV/atom) = -0.02

---

Entry from Alexandria: an optimized crystal structure of KRbTl2 (GGA-PBE).

Cell and atoms, written as POSCAR:
```
KRbTl2
1.0
5.350 0.000 0.000
0.000 7.145 0.000
0.000 0.000 9.886
Tl K Rb
4 2 2
direct
0.500 0.850 0.468 Tl
0.500 0.150 0.968 Tl
0.000 0.667 0.529 Tl
0.000 0.333 0.029 Tl
0.000 0.152 0.675 K
0.000 0.848 0.175 K
0.500 0.651 0.828 Rb
0.500 0.349 0.328 Rb
```

Output
- polymorph energy (0 for the lowest one) (eV per atom) = 0.0016
- SG = Pmc2_1 (26)
- formation energy from the elements (eV/atom) = -0.06

---

Entry from Alexandria: an optimized crystal structure of KRb3Tl (GGA-PBE).

Cell and atoms, written as POSCAR:
```
KRb3Tl
1.0
-2.201 0.325 4.540
-8.762 -2.393 -6.844
2.566 -12.063 2.134
Rb Tl K
6 2 2
direct
0.959 0.951 0.955 Rb
0.275 0.587 0.991 Rb
0.414 0.864 0.642 Rb
0.630 0.290 0.780 Rb
0.769 0.567 0.431 Rb
0.086 0.203 0.467 Rb
0.804 0.643 0.758 Tl
0.240 0.511 0.663 Tl
0.614 0.267 0.149 K
0.430 0.887 0.273 K
```

Output
- polymorph energy (0 for the lowest one) (eV per atom) = 0.0000
- SG = P1 (1)
- formation energy from the elements (eV/atom) = -0.02

---

Entry from Alexandria: an optimized crystal structure of KRb2Tl2 (GGA-PBE).

Cell and atoms, written as POSCAR:
```
KRb2Tl2
1.0
-4.029 1.975 7.928
-7.146 -5.135 -2.353
2.707 -4.963 2.612
K Tl Rb
2 4 4
direct
0.000 0.000 0.000 K
0.500 0.500 0.000 K
0.616 0.116 0.000 Tl
0.384 0.884 0.000 Tl
0.884 0.616 0.000 Tl
0.116 0.384 0.000 Tl
0.674 0.826 0.500 Rb
0.826 0.326 0.500 Rb
0.326 0.174 0.500 Rb
0.174 0.674 0.500 Rb
```

Output
- polymorph energy (0 for the lowest one) (eV per atom) = 0.0287
- SG = P4/mbm (127)
- formation energy from the elements (eV/atom) = -0.01